1.
The following is a PBE calculation of a geometry-optimized Nd8IrPt2 structure, from Alexandria via LeMat-Bulk.

abc: 7.7330 7.7330 6.4789
angles: 101.74 101.74 111.91
Last column: nearest neighbours and their distance in Å.
Positions (direct):
Nd: 0.0000 0.0000 0.0000  1 Ir 3.05, 2 Pt 3.06
Nd: 0.0070 0.2707 0.5824  2 Pt 2.90-2.92, 1 Ir 3.07
Nd: 0.1602 0.5547 0.1965  1 Ir 2.87
Nd: 0.2707 0.0070 0.5824  2 Pt 2.90-2.92, 1 Ir 3.07
Nd: 0.4359 0.7010 0.8242  2 Pt 2.94-2.96, 1 Ir 3.01
Nd: 0.5547 0.1602 0.1965  1 Ir 2.87
Nd: 0.7010 0.4359 0.8242  2 Pt 2.94-2.96, 1 Ir 3.01
Nd: 0.7060 0.7060 0.3801  2 Pt 3.04, 1 Ir 3.24
Ir: 0.3469 0.3469 0.9829  7 Nd 2.87-3.07
Pt: 0.0327 0.6666 0.6890  6 Nd 2.90-3.06
Pt: 0.6666 0.0327 0.6890  6 Nd 2.90-3.06

Summary:
Energy above the most stable polymorph in this dataset (eV/atom): 0.0751

=====

2.
The following is a PBE calculation of a geometry-optimized Nd7Ir2Pt2 structure, from Alexandria via LeMat-Bulk.

abc: 9.3185 9.3185 9.3185
angles: 154.68 67.91 118.17
Last column: nearest neighbours and their distance in Å.
Positions (direct):
Nd: 0.0000 0.0000 0.0000  2 Ir 2.86
Nd: 0.0870 0.3961 0.6909  3 Pt 2.91-3.05, 1 Ir 3.12
Nd: 0.1548 0.7768 0.3780  2 Ir 2.88
Nd: 0.3988 0.7768 0.6220  2 Ir 2.88
Nd: 0.5070 0.6159 0.8911  3 Ir 3.00-3.13, 2 Pt 3.09
Nd: 0.7053 0.3961 0.3091  3 Pt 2.91-3.05, 1 Ir 3.12
Nd: 0.7248 0.6159 0.1089  3 Ir 3.00-3.13, 2 Pt 3.09
Ir: 0.3569 0.3569 0.0000  6 Nd 2.88-3.00
Ir: 0.7913 0.2913 0.5000  8 Nd 2.86-3.13
Pt: 0.3384 0.0969 0.2414  7 Nd 2.91-3.25
Pt: 0.8555 0.0969 0.7586  7 Nd 2.91-3.25

Summary:
Energy above the most stable polymorph in this dataset (eV/atom): 0.0000

=====

3.
The following is a PBE calculation of a geometry-optimized Nd3IrPt2 structure, from Alexandria via LeMat-Bulk.

abc: 11.9722 4.1849 11.9758
angles: 90.00 90.00 90.00
Last column: nearest neighbours and their distance in Å.
Positions (direct):
Nd: 0.0477 0.2500 0.1234  5 Pt 3.02-3.06, 1 Ir 3.15
Nd: 0.1221 0.7500 0.5554  3 Ir 3.01-3.05, 4 Pt 3.07-3.26
Nd: 0.2206 0.2500 0.8069  2 Ir 2.92, 3 Pt 2.94-3.14
Nd: 0.2794 0.7500 0.3069  2 Ir 2.92, 3 Pt 2.94-3.14
Nd: 0.3779 0.2500 0.0554  3 Ir 3.01-3.05, 4 Pt 3.07-3.26
Nd: 0.4523 0.7500 0.6234  5 Pt 3.02-3.06, 1 Ir 3.15
Nd: 0.5477 0.2500 0.3766  5 Pt 3.02-3.06, 1 Ir 3.15
Nd: 0.6221 0.7500 0.9446  3 Ir 3.01-3.05, 4 Pt 3.07-3.26
Nd: 0.7206 0.2500 0.6931  2 Ir 2.92, 3 Pt 2.94-3.14
Nd: 0.7794 0.7500 0.1931  2 Ir 2.92, 3 Pt 2.94-3.14
Nd: 0.8779 0.2500 0.4446  3 Ir 3.01-3.05, 4 Pt 3.07-3.26
Nd: 0.9523 0.7500 0.8766  5 Pt 3.02-3.06, 1 Ir 3.15
Ir: 0.1231 0.2500 0.3750  3 Pt 2.71-2.80, 4 Nd 2.92-3.01
Ir: 0.3769 0.7500 0.8750  3 Pt 2.71-2.80, 4 Nd 2.92-3.01
Ir: 0.6231 0.2500 0.1250  3 Pt 2.71-2.80, 4 Nd 2.92-3.01
Ir: 0.8769 0.7500 0.6250  3 Pt 2.71-2.80, 4 Nd 2.92-3.01
Pt: 0.0009 0.2500 0.6981  2 Ir 2.71, 1 Nd 2.94
Pt: 0.1777 0.7500 0.9970  1 Ir 2.80, 3 Nd 3.02-3.06
Pt: 0.3223 0.2500 0.4970  1 Ir 2.80, 3 Nd 3.02-3.06
Pt: 0.4991 0.7500 0.1981  2 Ir 2.71, 1 Nd 2.94
Pt: 0.5009 0.2500 0.8019  2 Ir 2.71, 1 Nd 2.94
Pt: 0.6777 0.7500 0.5030  1 Ir 2.80, 3 Nd 3.02-3.06
Pt: 0.8223 0.2500 0.0030  1 Ir 2.80, 3 Nd 3.02-3.06
Pt: 0.9991 0.7500 0.3019  2 Ir 2.71, 1 Nd 2.94

=====

Number 1: calculated volume 30.44 A^3/atom, DFT total energy -0.2148 Ha/atom. Number 2: calculated volume 27.48 A^3/atom, DFT total energy -0.2368 Ha/atom. Number 3: calculated volume 25.00 A^3/atom, DFT total energy -0.2485 Ha/atom.